Entry 1:
Density functional theory data (PBE) for Ca2YH after structural relaxation.

abc: 7.0367 7.0367 9.5179
angles: 90.00 90.00 90.00
Element x y z (fractional)
Ca 0.0615 0.2500 0.1250
Ca 0.2500 0.5615 0.3750
Ca 0.2500 0.9385 0.8750
Ca 0.4385 0.2500 0.6250
Ca 0.5615 0.7500 0.6250
Ca 0.7500 0.0615 0.8750
Ca 0.7500 0.4385 0.3750
Ca 0.9385 0.7500 0.1250
Y 0.0000 0.0000 0.5000
Y 0.0000 0.5000 0.7500
Y 0.5000 0.0000 0.2500
Y 0.5000 0.5000 0.0000
H 0.0000 0.0000 0.0000
H 0.0000 0.5000 0.2500
H 0.5000 0.0000 0.7500
H 0.5000 0.5000 0.5000

Properties
The space group is I-42d (122).

***

Entry 2:
Density functional theory data (PBE) for Ca2YH2 after structural relaxation.

abc: 3.6705 3.6705 17.1794
angles: 90.00 90.00 90.00
Element x y z (fractional)
Ca 0.0000 0.0000 0.1727
Ca 0.0000 0.0000 0.8273
Ca 0.5000 0.5000 0.3273
Ca 0.5000 0.5000 0.6727
Y 0.0000 0.0000 0.5000
Y 0.5000 0.5000 0.0000
H 0.0000 0.5000 0.2500
H 0.0000 0.5000 0.7500
H 0.5000 0.0000 0.2500
H 0.5000 0.0000 0.7500

Properties
The space group is I4/mmm (139).

***

Entry 3:
Density functional theory data (PBE) for CaY2H after structural relaxation.

abc: 3.5913 3.5913 28.4667
angles: 90.00 90.00 120.00
Element x y z (fractional)
Ca 0.0000 0.0000 0.0000
Ca 0.3333 0.6667 0.6667
Ca 0.6667 0.3333 0.3333
Y 0.0000 0.0000 0.1196
Y 0.0000 0.0000 0.8804
Y 0.3333 0.6667 0.5471
Y 0.3333 0.6667 0.7862
Y 0.6667 0.3333 0.2138
Y 0.6667 0.3333 0.4529
H 0.0000 0.0000 0.5000
H 0.3333 0.6667 0.1667
H 0.6667 0.3333 0.8333

Properties
The space group is R-3m (166).

***

Entry 4:
Density functional theory data (PBE) for Ca2YH2 after structural relaxation.

abc: 8.9978 8.9978 3.1438
angles: 90.00 90.00 90.00
Element x y z (fractional)
Ca 0.1184 0.3816 0.0000
Ca 0.3816 0.8816 0.0000
Ca 0.6184 0.1184 0.0000
Ca 0.8816 0.6184 0.0000
Y 0.0000 0.0000 0.0000
Y 0.5000 0.5000 0.0000
H 0.0825 0.5825 0.5000
H 0.4175 0.0825 0.5000
H 0.5825 0.9175 0.5000
H 0.9175 0.4175 0.5000

Properties
The space group is P4/mbm (127).

***

| no. | offset from the most stable computed form (meV/atom) | M_tot (μB per cell) |
| --- | --- | --- |
| 1 | 0.0 | 3.3 |
| 2 | 0.0 | 0.0 |
| 3 | 88.7 | 1.5 |
| 4 | 614.6 | 1.0 |